1.
An optimized crystal structure of SbC, computed with PBE.

Unit cell a=3.4664 b=3.4664 c=7.0947 alpha=90.00 beta=90.00 gamma=120.00
With the nearest neighbours (Å) after each atom.
Fractional positions:
Sb1 0.3333 0.6667 0.0000  3 C 2.22
Sb2 0.6667 0.3333 0.5000  3 C 2.22
C1 0.3333 0.6667 0.6352  3 Sb 2.22
C2 0.6667 0.3333 0.1352  3 Sb 2.22

## Properties
Energy relative to the elements, uncorrected = 1.374 eV per atom

2.
An optimized crystal structure of SbC2, computed with PBE.

Unit cell a=5.4375 b=5.4375 c=3.1885 alpha=90.00 beta=90.00 gamma=151.83
With the nearest neighbours (Å) after each atom.
Fractional positions:
Sb1 0.0000 0.0000 0.0000  2 C 2.40, 2 Sb 2.65
C1 0.2277 0.7723 0.0000  2 C 1.40
C2 0.7723 0.2277 0.0000  2 C 1.40

## Properties
Energy relative to the elements, uncorrected = 0.959 eV per atom

3.
An optimized crystal structure of SbC2, computed with PBE.

Unit cell a=4.7739 b=4.7739 c=4.7739 alpha=60.00 beta=60.00 gamma=60.00
With the nearest neighbours (Å) after each atom.
Fractional positions:
Sb1 0.1250 0.1250 0.1250  12 C 2.80, 4 Sb 2.92
Sb2 0.8750 0.8750 0.8750  12 C 2.80, 4 Sb 2.92
C1 0.0000 0.5000 0.5000  6 C 2.39
C2 0.5000 0.0000 0.5000  6 C 2.39
C3 0.5000 0.5000 0.0000  6 C 2.39
C4 0.5000 0.5000 0.5000  6 C 2.39

## Properties
Energy relative to the elements, uncorrected = 3.178 eV per atom

4.
An optimized crystal structure of SbC3, computed with PBE.

Unit cell a=4.6889 b=4.6889 c=6.4007 alpha=90.00 beta=90.00 gamma=96.68
With the nearest neighbours (Å) after each atom.
Fractional positions:
Sb1 0.0100 0.9900 0.7500  3 C 2.16-2.41
Sb2 0.9900 0.0100 0.2500  3 C 2.16-2.41
C1 0.2987 0.7013 0.2500  2 C 1.39
C2 0.3543 0.4162 0.2500  2 C 1.39-1.43
C3 0.4162 0.3543 0.7500  2 C 1.39-1.43
C4 0.5838 0.6457 0.2500  2 C 1.39-1.43
C5 0.6457 0.5838 0.7500  2 C 1.39-1.43
C6 0.7013 0.2987 0.7500  2 C 1.39

## Properties
Energy relative to the elements, uncorrected = 1.434 eV per atom

5.
An optimized crystal structure of SbC2, computed with PBE.

Unit cell a=5.0627 b=5.0627 c=5.0627 alpha=127.12 beta=127.12 gamma=78.06
With the nearest neighbours (Å) after each atom.
Fractional positions:
Sb1 0.3750 0.6250 0.7500  4 C 2.60
Sb2 0.6250 0.3750 0.2500  4 C 2.60
C1 0.0402 0.7902 0.2500  1 C 1.33
C2 0.2098 0.9598 0.2500  1 C 1.33
C3 0.7902 0.0402 0.7500  1 C 1.33
C4 0.9598 0.2098 0.7500  1 C 1.33

## Properties
Energy relative to the elements, uncorrected = 1.912 eV per atom

6.
An optimized crystal structure of Sb2C, computed with PBE.

Unit cell a=7.6435 b=7.6435 c=9.5404 alpha=90.00 beta=90.00 gamma=120.00
With the nearest neighbours (Å) after each atom.
Fractional positions:
Sb1 0.0000 0.0000 0.0000  6 Sb 3.05
Sb2 0.0000 0.0000 0.5000  6 Sb 3.05
Sb3 0.1430 0.2860 0.2500  2 C 2.60
Sb4 0.1430 0.8570 0.2500  2 C 2.60
Sb5 0.2860 0.1430 0.7500  2 C 2.60
Sb6 0.7140 0.8570 0.2500  2 C 2.60
Sb7 0.8570 0.1430 0.7500  2 C 2.60
Sb8 0.8570 0.7140 0.7500  2 C 2.60
C1 0.3333 0.6667 0.1820  1 C 1.30
C2 0.3333 0.6667 0.3180  1 C 1.30
C3 0.6667 0.3333 0.6820  1 C 1.30
C4 0.6667 0.3333 0.8180  1 C 1.30

## Properties
Energy relative to the elements, uncorrected = 1.243 eV per atom

7.
An optimized crystal structure of SbC2, computed with PBE.

Unit cell a=3.3992 b=3.3992 c=7.7805 alpha=90.00 beta=90.00 gamma=120.00
With the nearest neighbours (Å) after each atom.
Fractional positions:
Sb1 0.0000 0.0000 0.0000  6 C 2.33
Sb2 0.0000 0.0000 0.5000  6 C 2.33
C1 0.3333 0.6667 0.1604  1 C 1.39
C2 0.3333 0.6667 0.3396  1 C 1.39
C3 0.6667 0.3333 0.6604  1 C 1.39
C4 0.6667 0.3333 0.8396  1 C 1.39

## Properties
Energy relative to the elements, uncorrected = 1.229 eV per atom

8.
An optimized crystal structure of SbC2, computed with PBE.

Unit cell a=5.3070 b=5.3070 c=5.3070 alpha=90.00 beta=90.00 gamma=90.00
With the nearest neighbours (Å) after each atom.
Fractional positions:
Sb1 0.0000 0.0000 0.0000  6 C 2.32
Sb2 0.0000 0.5000 0.5000  6 C 2.32
Sb3 0.5000 0.0000 0.5000  6 C 2.32
Sb4 0.5000 0.5000 0.0000  6 C 2.32
C1 0.0757 0.5757 0.9243  1 C 1.39
C2 0.0757 0.9243 0.4243  1 C 1.39
C3 0.4243 0.0757 0.9243  1 C 1.39
C4 0.4243 0.4243 0.4243  1 C 1.39
C5 0.5757 0.5757 0.5757  1 C 1.39
C6 0.5757 0.9243 0.0757  1 C 1.39
C7 0.9243 0.0757 0.5757  1 C 1.39
C8 0.9243 0.4243 0.0757  1 C 1.39

## Properties
Energy relative to the elements, uncorrected = 1.166 eV per atom

9.
An optimized crystal structure of Sb2C3, computed with PBE.

Unit cell a=3.4099 b=3.4099 c=7.0646 alpha=90.00 beta=90.00 gamma=120.00
With the nearest neighbours (Å) after each atom.
Fractional positions:
Sb1 0.3333 0.6667 0.2803  3 C 2.18
Sb2 0.6667 0.3333 0.7197  3 C 2.18
C1 0.0000 0.0000 0.5000  6 Sb 2.51
C2 0.3333 0.6667 0.8519  3 Sb 2.18
C3 0.6667 0.3333 0.1481  3 Sb 2.18

## Properties
Energy relative to the elements, uncorrected = 2.047 eV per atom

10.
An optimized crystal structure of Sb2C, computed with PBE.

Unit cell a=6.3085 b=6.3085 c=8.8818 alpha=131.12 beta=131.12 gamma=29.93
With the nearest neighbours (Å) after each atom.
Fractional positions:
Sb1 0.0832 0.0832 0.3962  3 C 2.24-2.45
Sb2 0.3372 0.3372 0.8986  2 C 2.31
Sb3 0.6628 0.6628 0.1014  2 C 2.31
Sb4 0.9168 0.9168 0.6038  3 C 2.24-2.45
C1 0.2361 0.2361 0.3392  5 Sb 2.24-2.45
C2 0.7639 0.7639 0.6608  5 Sb 2.24-2.45

## Properties
Energy relative to the elements, uncorrected = 0.991 eV per atom

11.
An optimized crystal structure of Sb2C, computed with PBE.

Unit cell a=6.3344 b=6.3344 c=6.1392 alpha=102.90 beta=102.90 gamma=30.81
With the nearest neighbours (Å) after each atom.
Fractional positions:
Sb1 0.0000 0.0000 0.0000  4 C 2.43-2.53
Sb2 0.0067 0.0067 0.5066  6 Sb 3.05-3.37
Sb3 0.2686 0.2686 0.2425  3 C 2.25-2.30
Sb4 0.7361 0.7361 0.7502  3 C 2.26-2.36
C1 0.3524 0.3524 0.9518  5 Sb 2.25-2.43
C2 0.6588 0.6588 0.0503  3 Sb 2.26-2.30

## Properties
Energy relative to the elements, uncorrected = 0.991 eV per atom

12.
An optimized crystal structure of SbC3, computed with PBE.

Unit cell a=7.3252 b=7.3252 c=3.3230 alpha=90.00 beta=90.00 gamma=140.06
With the nearest neighbours (Å) after each atom.
Fractional positions:
Sb1 0.1503 0.8497 0.7500  8 C 2.51-2.73
Sb2 0.8497 0.1503 0.2500  8 C 2.51-2.73
C1 0.2455 0.4908 0.7500  1 C 1.32
C2 0.3080 0.6920 0.2500  4 C 2.03
C3 0.4908 0.2455 0.2500  1 C 1.32
C4 0.5092 0.7545 0.7500  1 C 1.32
C5 0.6920 0.3080 0.7500  4 C 2.03
C6 0.7545 0.5092 0.2500  1 C 1.32

## Properties
Energy relative to the elements, uncorrected = 2.372 eV per atom

13.
An optimized crystal structure of Sb2C, computed with PBE.

Unit cell a=3.3092 b=3.3092 c=13.1588 alpha=90.00 beta=90.00 gamma=120.00
With the nearest neighbours (Å) after each atom.
Fractional positions:
Sb1 0.3333 0.6667 0.1138  3 C 2.43
Sb2 0.3333 0.6667 0.3862  3 C 2.43
Sb3 0.6667 0.3333 0.6138  3 C 2.43
Sb4 0.6667 0.3333 0.8862  3 C 2.43
C1 0.0000 0.0000 0.0000  6 Sb 2.43
C2 0.0000 0.0000 0.5000  6 Sb 2.43

## Properties
Energy relative to the elements, uncorrected = 1.077 eV per atom

14.
An optimized crystal structure of Sb3C, computed with PBE.

Unit cell a=7.8857 b=7.8857 c=7.8857 alpha=139.99 beta=139.99 gamma=57.87
With the nearest neighbours (Å) after each atom.
Fractional positions:
Sb1 0.0000 0.5000 0.5000  4 C 2.77
Sb2 0.1408 0.1408 0.0000  8 Sb 3.09-3.32
Sb3 0.2500 0.7500 0.5000  6 Sb 3.09-3.45
Sb4 0.5000 0.0000 0.5000  4 C 2.77
Sb5 0.7500 0.2500 0.5000  6 Sb 3.09-3.45
Sb6 0.8592 0.8592 0.0000  8 Sb 3.09-3.32
C1 0.4531 0.4531 0.0000  1 C 1.30
C2 0.5469 0.5469 0.0000  1 C 1.30

## Properties
Energy relative to the elements, uncorrected = 0.832 eV per atom

15.
An optimized crystal structure of Sb2C, computed with PBE.

Unit cell a=7.2227 b=7.2227 c=3.2320 alpha=90.00 beta=90.00 gamma=129.33
With the nearest neighbours (Å) after each atom.
Fractional positions:
Sb1 0.0000 0.0000 0.0000  4 C 2.35
Sb2 0.2460 0.7540 0.0000  2 C 2.21
Sb3 0.5000 0.5000 0.5000  6 Sb 3.23-3.49, 4 C 3.53
Sb4 0.7540 0.2460 0.0000  2 C 2.21
C1 0.1303 0.8697 0.5000  4 Sb 2.21-2.35
C2 0.8697 0.1303 0.5000  4 Sb 2.21-2.35

## Properties
Energy relative to the elements, uncorrected = 1.250 eV per atom

16.
An optimized crystal structure of SbC, computed with PBE.

Unit cell a=7.4309 b=7.4309 c=7.4309 alpha=26.98 beta=26.98 gamma=26.98
With the nearest neighbours (Å) after each atom.
Fractional positions:
Sb1 0.0969 0.0969 0.0969  3 C 2.16
Sb2 0.9031 0.9031 0.9031  3 C 2.16
C1 0.3921 0.3921 0.3921  3 Sb 2.16
C2 0.6079 0.6079 0.6079  3 Sb 2.16

## Properties
Energy relative to the elements, uncorrected = 1.503 eV per atom

17.
An optimized crystal structure of SbC3, computed with PBE.

Unit cell a=3.7778 b=3.7778 c=3.2759 alpha=90.00 beta=90.00 gamma=104.30
With the nearest neighbours (Å) after each atom.
Fractional positions:
Sb1 0.0000 0.0000 0.0000  10 C 2.32-2.50
C1 0.0000 0.5000 0.5000  6 C 2.32-2.50, 4 Sb 2.50
C2 0.5000 0.0000 0.5000  6 C 2.32-2.50, 4 Sb 2.50
C3 0.5000 0.5000 0.0000  2 Sb 2.32, 8 C 2.50

## Properties
Energy relative to the elements, uncorrected = 3.388 eV per atom

18.
An optimized crystal structure of Sb3C, computed with PBE.

Unit cell a=4.0835 b=4.0835 c=7.6706 alpha=105.77 beta=105.77 gamma=47.86
With the nearest neighbours (Å) after each atom.
Fractional positions:
Sb1 0.0000 0.0000 0.0000  8 Sb 3.08-3.31
Sb2 0.1767 0.1767 0.6851  2 C 2.32
Sb3 0.8233 0.8233 0.3149  2 C 2.32
C1 0.5000 0.5000 0.5000  4 Sb 2.32

## Properties
Energy relative to the elements, uncorrected = 0.929 eV per atom

19.
An optimized crystal structure of SbC, computed with PBE.

Unit cell a=7.8964 b=7.8964 c=6.2627 alpha=111.25 beta=111.25 gamma=25.35
With the nearest neighbours (Å) after each atom.
Fractional positions:
Sb1 0.0000 0.0000 0.0000  2 C 2.19
Sb2 0.0380 0.0380 0.5395  2 C 2.13
Sb3 0.7466 0.7466 0.5107  3 C 2.14-2.19
C1 0.3211 0.3211 0.7093  1 C 1.34
C2 0.4084 0.4084 0.8675  1 C 1.34
C3 0.6242 0.6242 0.5942  3 Sb 2.13-2.14

## Properties
Energy relative to the elements, uncorrected = 1.053 eV per atom

20.
An optimized crystal structure of SbC, computed with PBE.

Unit cell a=5.9273 b=5.9273 c=3.1775 alpha=90.00 beta=90.00 gamma=120.00
With the nearest neighbours (Å) after each atom.
Fractional positions:
Sb1 0.0000 0.0000 0.0000  6 C 2.96, 2 Sb 3.18
Sb2 0.3333 0.6667 0.5000  6 C 2.33
Sb3 0.6667 0.3333 0.5000  6 C 2.33
C1 0.0000 0.5000 0.0000  4 Sb 2.33
C2 0.5000 0.0000 0.0000  4 Sb 2.33
C3 0.5000 0.5000 0.0000  4 Sb 2.33

## Properties
Energy relative to the elements, uncorrected = 1.849 eV per atom

| no. | uncorrected energy (eV/atom) | offset from the most stable computed form (meV/atom) | spin magnetization (μB per formula unit) |
| --- | --- | --- | --- |
| 1 | -5.30 | 540 | 0.00 |
| 2 | -6.56 | 24 | 0.00 |
| 3 | -4.35 | 2243 | 0.00 |
| 4 | -6.51 | 552 | 0.00 |
| 5 | -5.61 | 977 | 0.00 |
| 6 | -4.58 | 632 | 0.00 |
| 7 | -6.29 | 294 | 0.00 |
| 8 | -6.36 | 231 | 0.00 |
| 9 | -5.14 | 771 | 0.00 |
| 10 | -4.83 | 380 | 0.00 |
| 11 | -4.83 | 379 | 0.00 |
| 12 | -5.58 | 1491 | 0.00 |
| 13 | -4.75 | 465 | 0.00 |
| 14 | -4.57 | 70 | 0.00 |
| 15 | -4.57 | 639 | 0.00 |
| 16 | -5.17 | 668 | 0.00 |
| 17 | -4.56 | 2507 | 0.00 |
| 18 | -4.47 | 168 | 0.00 |
| 19 | -5.62 | 219 | 0.20 |
| 20 | -4.82 | 1014 | 0.00 |